Record 1
## TcS (PBE)

Data for a relaxed structure of TcS.

Cell lengths 6.4443, 6.4443, 3.6842 Å; angles 90.00, 90.00, 90.00 degrees
Last column: nearest neighbours and their distance in Å.
Positions (direct):
1 Tc 0.8444 0.8444 0.0000  4 S 2.28-2.29
2 Tc 0.1556 0.1556 0.0000  4 S 2.28-2.29
3 Tc 0.3444 0.6556 0.5000  4 S 2.28-2.29
4 Tc 0.6556 0.3444 0.5000  4 S 2.28-2.29
5 S 0.6966 0.6966 0.5000  4 Tc 2.28-2.29
6 S 0.3034 0.3034 0.5000  4 Tc 2.28-2.29
7 S 0.1966 0.8034 0.0000  4 Tc 2.28-2.29
8 S 0.8034 0.1966 0.0000  4 Tc 2.28-2.29

Output
symmetry	P4_2/mnm
E_form (uncorrected)	1.5	kJ per mole of atoms
Fermi-level density of states	1.593	states/eV/f.u.

***

Record 2
## NaBiTePOs (PBE)

Data for a relaxed structure of NaBiTePOs.

Cell lengths 5.6355, 3.5915, 6.8869 Å; angles 90.00, 111.67, 90.00 degrees
Last column: nearest neighbours and their distance in Å.
Positions (direct):
1 Na 0.3456 0.5000 0.7530  1 P 2.98, 2 Os 3.26, 2 Te 3.30
2 Os 0.4614 0.0000 0.4024  2 P 2.21
3 P 0.4331 0.5000 0.2077  2 Os 2.21
4 Bi 0.9293 0.0000 0.2458  1 Os 2.79
5 Te 0.8568 0.0000 0.7598  1 Os 2.64

Output
symmetry	Pm
E_form (uncorrected)	2.0	kJ per mole of atoms
Fermi-level density of states	2.478	states/eV/f.u.

***

Per-record total magnetic moment, μB/cell: 0.00; 0.00
Per-record excess energy over the best structure of this formula in the dataset, meV/atom: 405; 77